1.
This record from Alexandria via LeMat-Bulk describes a geometry-optimized CsHfNiS3 structure. The functional is PBE-GGA.

Output
* total energy: -6.08 eV/atom
* DOS at the Fermi energy: 6.827 states/eV/cell
* magnetic moment: 1.0 Bohr magnetons per cell
* E_form (uncorrected): -1.255 eV/atom
* ρ: 5.27 g/cm³
* volume: 294 Å³ per cell

Cell lengths 9.1381, 3.7343, 9.6177 Å; angles 90.00, 116.55, 90.00 degrees
Closest atoms and distances in Å follow each position.
Space group P2_1/m (No. 11)
Inequivalent atoms, fractional coordinates:
1 Cs 0.2288 0.2500 0.2546 x2  7 S 3.48-3.55, 2 Cs 3.73
2 Hf 0.3122 0.7500 0.8387 x2  6 S 2.52-2.64
3 Ni 0.0857 0.2500 0.5940 x2  4 S 2.26-2.34
4 S 0.1312 0.2500 0.8531 x2  1 Ni 2.34, 2 Hf 2.54
5 S 0.1959 0.7500 0.5471 x2  3 Ni 2.26-2.31, 1 Hf 2.52
6 S 0.4814 0.7500 0.1443 x2  3 Hf 2.61-2.64



2.
This record from Alexandria via LeMat-Bulk describes a geometry-optimized LaNdSn structure. The functional is PBE-GGA.

Output
* total energy: -5.18 eV/atom
* DOS at the Fermi energy: 13.723 states/eV/cell
* formation energy: -0.614 eV/atom
* magnetic moment: 1.1 Bohr magnetons per cell
* ΔE to the lowest computed polymorph: 0.001 eV per atom
* ρ: 6.64 g/cm³
* volume: 402 Å³ per cell

Cell lengths 4.7620, 4.7620, 17.7181 Å; angles 90.00, 90.00, 90.00 degrees
Closest atoms and distances in Å follow each position.
Space group I4/mmm (No. 139)
Inequivalent atoms, fractional coordinates:
1 La 0.0000 0.0000 0.1786 x4  5 Sn 3.32-3.46
2 Nd 0.0000 0.5000 0.0000 x4  4 Sn 3.36, 4 Nd 3.37
3 Sn 0.0000 0.0000 0.3660 x4  5 La 3.32-3.46, 4 Nd 3.36



3.
This record from Alexandria via LeMat-Bulk describes a geometry-optimized YCu2Sb structure. The functional is PBE-GGA.

Output
* total energy: -4.83 eV/atom
* DOS at the Fermi energy: 5.960 states/eV/cell
* magnetic moment: 0.0 Bohr magnetons per cell
* E_form (uncorrected): -0.135 eV/atom
* ρ: 7.02 g/cm³
* volume: 160 Å³ per cell

Cell lengths 4.1493, 4.1493, 9.2837 Å; angles 90.00, 90.00, 90.00 degrees
Closest atoms and distances in Å follow each position.
Space group I-4m2 (No. 119)
Inequivalent atoms, fractional coordinates:
1 Y 0.0000 0.0000 0.0000 x2  8 Cu 2.93-3.11, 4 Sb 3.11
2 Cu 0.0000 0.0000 0.5000 x2  4 Y 2.93, 4 Sb 3.11, 4 Cu 3.11
3 Cu 0.0000 0.5000 0.7500 x2  4 Sb 2.93, 4 Cu 3.11, 4 Y 3.11
4 Sb 0.0000 0.5000 0.2500 x2  8 Cu 2.93-3.11, 4 Y 3.11